# 1
Na2TePtSe SCAN PBEsol geometry; spin magnetization = 0.3238 μB/atom; formation energy (no corrections) = -0.287 eV/atom; V = 26.3 Å³/atom; D(E_F) = 3.59 states/eV per cell
1.0
-0.3334 0.5815 4.5761
0.2102 -5.2833 0.6867
5.3139 0.2575 0.3545
Na Pt Se Te
2 1 1 1
Direct
0.0000 0.0000 0.5000
0.0000 0.5000 0.0000
0.5000 0.0000 0.0000
0.0000 0.0000 0.0000
0.5000 0.5000 0.5000



# 2
Al2Rh SCAN PBEsol geometry; spin magnetization = 0.0001 μB/atom; V = 14.5 Å³/atom; energy relative to the elements = -0.96 eV per atom; D(E_F) = 3.44 states/eV per cell
1.0
3.9133 0.0000 0.0000
0.0000 5.5200 0.0000
0.0000 0.0000 8.0373
Rh Al
4 8
Direct
0.2500 0.7438 0.6617
0.2500 0.2438 0.8383
0.7500 0.2562 0.3383
0.7500 0.7562 0.1617
0.7500 0.3432 0.0319
0.2500 0.6568 0.9681
0.7500 0.9351 0.8374
0.7500 0.4351 0.6626
0.2500 0.1568 0.5319
0.7500 0.8432 0.4681
0.2500 0.5649 0.3374
0.2500 0.0649 0.1626



# 3
Sn3GeAs SCAN PBEsol geometry; spin magnetization = 0.0000 μB/atom; V = 29.1 Å³/atom; energy relative to the elements = 0.77 eV per atom; D(E_F) = 3.09 states/eV per cell
1.0
-1.8483 -4.8757 0.6756
2.4362 -1.5332 -4.3999
4.2771 -1.2336 2.7981
Ge Sn As
1 3 1
Direct
0.5000 0.5000 0.5000
0.0000 0.5000 0.0000
0.5000 0.0000 0.0000
0.0000 0.0000 0.5000
0.0000 0.0000 0.0000



# 4
YZrW2 SCAN PBEsol geometry; energy relative to the lowest polymorph listed for this composition = 166 meV per atom; spin magnetization = 0.0000 μB/atom; V = 18.8 Å³/atom; energy relative to the elements = 0.57 eV per atom; D(E_F) = 4.15 states/eV per cell
1.0
2.8509 0.0078 0.0000
-0.9696 5.4350 0.0000
-0.9407 -2.7214 4.8414
Zr Y W
1 1 2
Direct
0.5000 0.0000 0.0000
0.0000 0.5000 0.0000
0.0000 0.0000 0.5000
0.5000 0.5000 0.5000



# 5
Y2BeSi SCAN PBEsol geometry; energy relative to the lowest polymorph listed for this composition = 0 meV per atom; spin magnetization = 0.1939 μB/atom; formation energy (no corrections) = -0.538 eV/atom; V = 20.8 Å³/atom; D(E_F) = 2.65 states/eV per cell
1.0
-0.9629 -2.7715 -2.4911
3.0915 -2.3054 1.3698
-4.7465 -0.9887 2.9347
Si Y Be
1 2 1
Direct
0.5000 0.5644 0.1289
0.5000 0.2692 0.5384
0.0000 0.9842 0.9683
0.0000 0.6848 0.3695



# 6
LaSb2Rh SCAN PBEsol geometry; spin magnetization = 0.0000 μB/atom; formation energy (no corrections) = -0.466 eV/atom; V = 22.3 Å³/atom; D(E_F) = 3.07 states/eV per cell
1.0
3.3906 0.0000 0.0000
0.0000 3.3906 0.0000
0.0000 0.0000 7.7458
Sb Rh La
2 1 1
Direct
0.0000 0.0000 0.6997
0.0000 0.0000 0.3003
0.5000 0.5000 0.5000
0.5000 0.5000 0.0000



# 7
CoTc2Os SCAN PBEsol geometry; energy relative to the lowest polymorph listed for this composition = 0 meV per atom; spin magnetization = 0.2001 μB/atom; V = 13.0 Å³/atom; energy relative to the elements = -0.01 eV per atom; D(E_F) = 3.08 states/eV per cell
1.0
-2.2108 -0.9448 1.1807
2.3483 -1.6523 3.0750
-0.3912 3.9228 2.4066
Co Tc Os
1 2 1
Direct
0.5000 0.0000 0.5499
0.0000 0.0000 0.0361
0.0000 0.5000 0.6985
0.5000 0.5000 0.2155



# 8
SrBeSb2 SCAN PBEsol geometry; spin magnetization = 0.0831 μB/atom; formation energy (no corrections) = -0.200 eV/atom; V = 26.6 Å³/atom; D(E_F) = 1.88 states/eV per cell
1.0
-3.0470 3.0092 -1.7596
-3.6239 -2.1343 2.6252
0.8366 2.9010 3.5122
Sb Sr Be
2 1 1
Direct
0.0000 0.0584 0.8751
0.5000 0.0586 0.3750
0.0000 0.5573 0.3752
0.5000 0.8258 0.8748



Copy entry 1 word for word.
Na2TePtSe SCAN PBEsol geometry; spin magnetization = 0.3238 μB/atom; formation energy (no corrections) = -0.287 eV/atom; V = 26.3 Å³/atom; D(E_F) = 3.59 states/eV per cell
1.0
-0.3334 0.5815 4.5761
0.2102 -5.2833 0.6867
5.3139 0.2575 0.3545
Na Pt Se Te
2 1 1 1
Direct
0.0000 0.0000 0.5000
0.0000 0.5000 0.0000
0.5000 0.0000 0.0000
0.0000 0.0000 0.0000
0.5000 0.5000 0.5000



> Number 2 is which compound?

Al2Rh